Computed, not measured: a geometry-optimized MgNi2Sn structure at the PBE-GGA level of DFT.

The structure in POSCAR format:
```
MgNi2Sn
1.0
-0.3749 3.6617 2.2006
-3.4918 -2.3087 -0.9321
0.7980 -3.8445 6.5329
Mg Ni Sn
2 4 2
Cartesian
0.0000 0.0000 0.0000
0.3990 -1.9222 3.2664
-1.3424 1.3270 1.7418
-1.0864 0.0938 3.8374
-1.9823 -2.5853 3.9640
-1.7263 -3.8185 6.0596
-2.2533 -1.2797 1.7454
-0.8153 -1.2118 6.0560
```

Computed properties:
The space-group type is P6_3/mmc (194). The value obtained for the energy above the most stable polymorph in this dataset is 0.02 eV per formula unit.

***

Computed, not measured: a geometry-optimized MgNi2Sn structure at the PBE-GGA level of DFT.

The structure in POSCAR format:
```
MgNi2Sn
1.0
2.1354 -3.6986 0.0000
2.1354 3.6986 0.0000
0.0000 0.0000 7.8980
Mg Ni Sn
2 4 2
Cartesian
2.1354 1.2329 1.9745
2.1354 -1.2329 5.9235
2.1354 -1.2329 0.6963
2.1354 -1.2329 3.2527
2.1354 1.2329 4.6453
2.1354 1.2329 7.2017
0.0000 0.0000 0.0000
0.0000 0.0000 3.9490
```

Computed properties:
The space-group type is P6_3/mmc (194). The value obtained for the energy above the most stable polymorph in this dataset is 0.14 eV per formula unit.

***

Computed, not measured: a geometry-optimized MgNiSn2 structure at the PBE-GGA level of DFT.

The structure in POSCAR format:
```
MgNiSn2
1.0
2.4426 1.4102 3.9887
-2.4426 1.4102 3.9887
0.0000 -2.8205 3.9887
Mg Ni Sn
1 1 2
Cartesian
0.0000 0.0000 2.9916
0.0000 0.0000 0.0000
0.0000 0.0000 5.9831
0.0000 0.0000 8.9747
```

Computed properties:
The space-group type is F-43m (216). The total energy is -3.618 eV per atom.

***

Mass density for every record listed, in sequence, given in g/cm³: 7.1; 6.9; 6.5.